Density functional theory data (PBE) for an optimized crystal structure of SrLaAgPt.

a = 4.447 Å, b = 6.412 Å, c = 6.412 Å
α = 37.85°, β = 90.00°, γ = 90.00°
Element x y z (fractional)
Sr 0.000 0.000 0.000
La 0.500 0.277 0.277
Ag 0.500 0.573 0.573
Pt 0.000 0.737 0.737

DOS at the Fermi energy   0.82 states/eV per atom
ΔE_f   -0.662 eV/atom
Volume   28.05 Å³ per atom
Symmetry   Amm2 (38)
Distance to the lowest polymorph of the same formula   0.000 eV/atom